1.
# GGA-PBE KZn2As2, optimized geometry
data_KZn2As2
_chemical_formula_sum 'K2 Zn4 As4'
_cell_length_a 8.228
_cell_length_b 8.228
_cell_length_c 3.141
_cell_angle_alpha 90.00
_cell_angle_beta 90.00
_cell_angle_gamma 90.00
_symmetry_space_group_name_H-M 'P 4/m b m'
_symmetry_Int_Tables_number 127
_symmetry_space_group_name_Hall '-P 4 2ab'
loop_
_atom_site_label
_atom_site_type_symbol
_atom_site_fract_x
_atom_site_fract_y
_atom_site_fract_z
_atom_site_occupancy
K1 K 0.000 0.000 0.000 1
Zn1 Zn 0.133 0.367 0.500 1
As1 As 0.150 0.650 0.000 1
# Formation energy: 0.09 eV/f.u.



2.
# GGA-PBE KZn2As, optimized geometry
data_KZn2As
_chemical_formula_sum 'K2 Zn4 As2'
_cell_length_a 4.073
_cell_length_b 5.845
_cell_length_c 9.030
_cell_angle_alpha 90.00
_cell_angle_beta 90.00
_cell_angle_gamma 90.00
_symmetry_space_group_name_H-M 'I m m m'
_symmetry_Int_Tables_number 71
_symmetry_space_group_name_Hall '-I 2 2'
loop_
_atom_site_label
_atom_site_type_symbol
_atom_site_fract_x
_atom_site_fract_y
_atom_site_fract_z
_atom_site_occupancy
K1 K 0.000 0.000 0.000 1
Zn1 Zn 0.000 0.500 0.178 1
As1 As 0.000 0.000 0.500 1
# Formation energy: 0.25 eV/f.u.



3.
# GGA-PBE KZn2As, optimized geometry
data_KZn2As
_chemical_formula_sum 'K1 Zn2 As1'
_cell_length_a 3.686
_cell_length_b 3.686
_cell_length_c 7.102
_cell_angle_alpha 90.00
_cell_angle_beta 90.00
_cell_angle_gamma 90.00
_symmetry_space_group_name_H-M 'P 4/m m m'
_symmetry_Int_Tables_number 123
_symmetry_space_group_name_Hall '-P 4 2'
loop_
_atom_site_label
_atom_site_type_symbol
_atom_site_fract_x
_atom_site_fract_y
_atom_site_fract_z
_atom_site_occupancy
K1 K 0.000 0.000 0.000 1
Zn1 Zn 0.500 0.500 0.323 1
As1 As 0.000 0.000 0.500 1
# Formation energy: 0.59 eV/f.u.



4.
# GGA-PBE K2ZnAs2, optimized geometry
data_K2ZnAs2
_chemical_formula_sum 'K4 Zn2 As4'
_cell_length_a 6.480
_cell_length_b 6.480
_cell_length_c 8.656
_cell_angle_alpha 90.00
_cell_angle_beta 90.00
_cell_angle_gamma 90.00
_symmetry_space_group_name_H-M 'I 4/m m m'
_symmetry_Int_Tables_number 139
_symmetry_space_group_name_Hall '-I 4 2'
loop_
_atom_site_label
_atom_site_type_symbol
_atom_site_fract_x
_atom_site_fract_y
_atom_site_fract_z
_atom_site_occupancy
K1 K 0.000 0.500 0.250 1
Zn1 Zn 0.000 0.000 0.000 1
As1 As 0.000 0.000 0.366 1
# Formation energy: -0.07 eV/f.u.



5.
# GGA-PBE KZn3As2, optimized geometry
data_KZn3As2
_chemical_formula_sum 'K4 Zn12 As8'
_cell_length_a 16.231
_cell_length_b 4.104
_cell_length_c 9.872
_cell_angle_alpha 90.00
_cell_angle_beta 120.03
_cell_angle_gamma 90.00
_symmetry_space_group_name_H-M 'C 1 2/m 1'
_symmetry_Int_Tables_number 12
loop_
_symmetry_equiv_pos_as_xyz
'x,y,z'
'-x,-y,-z'
'-x,y,-z'
'x,-y,z'
'x+1/2,y+1/2,z'
'-x+1/2,-y+1/2,-z'
'-x+1/2,y+1/2,-z'
'x+1/2,-y+1/2,z'
loop_
_atom_site_label
_atom_site_type_symbol
_atom_site_fract_x
_atom_site_fract_y
_atom_site_fract_z
_atom_site_occupancy
K1 K 0.135 0.000 0.048 1
Zn1 Zn 0.085 0.500 0.686 1
Zn2 Zn 0.095 0.000 0.416 1
Zn3 Zn 0.217 0.500 0.402 1
As1 As 0.039 0.500 0.240 1
As2 As 0.174 0.000 0.715 1
# Formation energy: -1.55 eV/f.u.



6.
# GGA-PBE KZnAs, optimized geometry
data_KZnAs
_chemical_formula_sum 'K2 Zn2 As2'
_cell_length_a 3.737
_cell_length_b 3.737
_cell_length_c 11.860
_cell_angle_alpha 90.00
_cell_angle_beta 90.00
_cell_angle_gamma 90.00
_symmetry_space_group_name_H-M 'I 4 m m'
_symmetry_Int_Tables_number 107
_symmetry_space_group_name_Hall 'I 4 -2'
loop_
_atom_site_label
_atom_site_type_symbol
_atom_site_fract_x
_atom_site_fract_y
_atom_site_fract_z
_atom_site_occupancy
K1 K 0.000 0.000 0.000 1
Zn1 Zn 0.000 0.000 0.742 1
As1 As 0.000 0.000 0.273 1
# Formation energy: -0.33 eV/f.u.



7.
# GGA-PBE KZnAs2, optimized geometry
data_KZnAs2
_chemical_formula_sum 'K2 Zn2 As4'
_cell_length_a 4.514
_cell_length_b 4.514
_cell_length_c 8.901
_cell_angle_alpha 90.00
_cell_angle_beta 90.00
_cell_angle_gamma 90.00
_symmetry_space_group_name_H-M 'I -4 m 2'
_symmetry_Int_Tables_number 119
_symmetry_space_group_name_Hall 'I -4 -2'
loop_
_atom_site_label
_atom_site_type_symbol
_atom_site_fract_x
_atom_site_fract_y
_atom_site_fract_z
_atom_site_occupancy
K1 K 0.000 0.000 0.000 1
Zn1 Zn 0.000 0.500 0.750 1
As1 As 0.000 0.000 0.500 1
As2 As 0.000 0.500 0.250 1
# Formation energy: 1.00 eV/f.u.



8.
# GGA-PBE KZn2As, optimized geometry
data_KZn2As
_chemical_formula_sum 'K1 Zn2 As1'
_cell_length_a 3.294
_cell_length_b 5.133
_cell_length_c 5.511
_cell_angle_alpha 90.00
_cell_angle_beta 90.00
_cell_angle_gamma 90.00
_symmetry_space_group_name_H-M 'P m m m'
_symmetry_Int_Tables_number 47
loop_
_symmetry_equiv_pos_as_xyz
'x,y,z'
'-x,-y,-z'
'-x,-y,z'
'x,y,-z'
'x,-y,-z'
'-x,y,z'
'-x,y,-z'
'x,-y,z'
loop_
_atom_site_label
_atom_site_type_symbol
_atom_site_fract_x
_atom_site_fract_y
_atom_site_fract_z
_atom_site_occupancy
K1 K 0.000 0.000 0.000 1
Zn1 Zn 0.000 0.500 0.500 1
Zn2 Zn 0.500 0.500 0.000 1
As1 As 0.500 0.000 0.500 1
# Formation energy: 1.04 eV/f.u.



9.
# GGA-PBE KZnAs, optimized geometry
data_KZnAs
_chemical_formula_sum 'K2 Zn2 As2'
_cell_length_a 4.2665
_cell_length_b 4.2665
_cell_length_c 10.3958
_cell_angle_alpha 90.00
_cell_angle_beta 90.00
_cell_angle_gamma 120.00
_symmetry_space_group_name_H-M 'P 63/m m c'
_symmetry_Int_Tables_number 194
_symmetry_space_group_name_Hall '-P 6c 2c'
loop_
_atom_site_label
_atom_site_type_symbol
_atom_site_fract_x
_atom_site_fract_y
_atom_site_fract_z
_atom_site_occupancy
K1 K 0.0000 0.0000 0.0000 1
Zn1 Zn 0.3333 0.6667 0.2500 1
As1 As 0.3333 0.6667 0.7500 1
# Formation energy: -1.44 eV/f.u.



10.
# GGA-PBE K2ZnAs2, optimized geometry
data_K2ZnAs2
_chemical_formula_sum 'K4 Zn2 As4'
_cell_length_a 6.955
_cell_length_b 6.955
_cell_length_c 5.453
_cell_angle_alpha 90.00
_cell_angle_beta 90.00
_cell_angle_gamma 90.00
_symmetry_space_group_name_H-M 'P 4/m b m'
_symmetry_Int_Tables_number 127
_symmetry_space_group_name_Hall '-P 4 2ab'
loop_
_atom_site_label
_atom_site_type_symbol
_atom_site_fract_x
_atom_site_fract_y
_atom_site_fract_z
_atom_site_occupancy
K1 K 0.170 0.330 0.000 1
Zn1 Zn 0.000 0.000 0.500 1
As1 As 0.132 0.632 0.500 1
# Formation energy: -1.33 eV/f.u.



11.
# GGA-PBE KZn2As, optimized geometry
data_KZn2As
_chemical_formula_sum 'K3 Zn6 As3'
_cell_length_a 4.3818
_cell_length_b 4.3818
_cell_length_c 19.3847
_cell_angle_alpha 90.00
_cell_angle_beta 90.00
_cell_angle_gamma 120.00
_symmetry_space_group_name_H-M 'R -3 m'
_symmetry_Int_Tables_number 166
_symmetry_space_group_name_Hall '-R 3 2"'
loop_
_atom_site_label
_atom_site_type_symbol
_atom_site_fract_x
_atom_site_fract_y
_atom_site_fract_z
_atom_site_occupancy
K1 K 0.0000 0.0000 0.0000 1
Zn1 Zn 0.0000 0.0000 0.2106 1
As1 As 0.0000 0.0000 0.5000 1
# Formation energy: -0.19 eV/f.u.



12.
# GGA-PBE KZn2As, optimized geometry
data_KZn2As
_chemical_formula_sum 'K3 Zn6 As3'
_cell_length_a 4.2070
_cell_length_b 4.2070
_cell_length_c 21.1458
_cell_angle_alpha 90.00
_cell_angle_beta 90.00
_cell_angle_gamma 120.00
_symmetry_space_group_name_H-M 'R 3 m'
_symmetry_Int_Tables_number 160
_symmetry_space_group_name_Hall 'R 3 -2"'
loop_
_atom_site_label
_atom_site_type_symbol
_atom_site_fract_x
_atom_site_fract_y
_atom_site_fract_z
_atom_site_occupancy
K1 K 0.0000 0.0000 0.0000 1
Zn1 Zn 0.0000 0.0000 0.2155 1
Zn2 Zn 0.0000 0.0000 0.4728 1
As1 As 0.0000 0.0000 0.7838 1
# Formation energy: -0.53 eV/f.u.



Number 10 is which compound?
K2ZnAs2